Nd3Sm2TmAs6: relaxed, GGA-PBE.

Results
Its volume is 26.57 Å³ per atom. The value obtained for the formation energy is -1.51 eV/atom. The space-group type is C2/m, No. 12. Its calculated total energy is -6.18 eV per atom. For the total magnetization, the calculation gives 0.000 Bohr magnetons per cell.

abc: 4.2224 8.4364 9.4333
angles: 102.91 102.93 90.00
Sites, in units of the cell vectors:
1 As 0.3366 0.9162 0.6732
2 As 0.6675 0.5814 0.3350
3 Nd 0.5000 0.5000 0.0000
4 Sm 0.8342 0.6678 0.6684
5 Tm 0.5000 0.0000 0.0000
6 As 0.0003 0.2413 0.0005
7 As 0.3325 0.4186 0.6650
8 Sm 0.1658 0.3322 0.3316
9 Nd 0.1671 0.8340 0.3342
10 As 0.6634 0.0838 0.3268
11 Nd 0.8329 0.1660 0.6658
12 As 0.9997 0.7587 0.9995

---

La3NdDyEr: relaxed, GGA-PBE.

Results
Its volume is 34.73 Å³ per atom. The value obtained for the formation energy is 0.02 eV/atom. The space-group type is P2_1/m, No. 11. Its calculated total energy is -4.76 eV per atom. For the total magnetization, the calculation gives 0.003 Bohr magnetons per cell.

abc: 3.6700 10.9787 10.9848
angles: 109.66 90.00 90.00
Sites, in units of the cell vectors:
1 Dy 0.2500 0.1204 0.2956
2 La 0.7500 0.3700 0.5403
3 Er 0.7500 0.8811 0.3786
4 La 0.2500 0.1216 0.9531
5 Nd 0.7500 0.3710 0.8719
6 Nd 0.2500 0.6290 0.1281
7 La 0.2500 0.6260 0.7916
8 Dy 0.7500 0.8796 0.7044
9 La 0.7500 0.3740 0.2084
10 La 0.2500 0.6300 0.4597
11 Er 0.2500 0.1189 0.6214
12 La 0.7500 0.8784 0.0469

---

Cr3Ir6Rh: relaxed, GGA-PBE.

Results
Its volume is 13.76 Å³ per atom. The value obtained for the formation energy is -0.15 eV/atom. The space-group type is P2_1/m, No. 11. Its calculated total energy is -9.09 eV per atom. For the total magnetization, the calculation gives 1.344 Bohr magnetons per cell.

abc: 3.8138 8.4618 8.5283
angles: 90.53 90.00 90.00
Sites, in units of the cell vectors:
1 Ir 0.2500 0.8374 0.2927
2 Rh 0.7500 0.0493 0.4003
3 Cr 0.7500 0.6469 0.2031
4 Ir 0.7500 0.3600 0.3018
5 Cr 0.7500 0.4485 0.5995
6 Ir 0.7500 0.9437 0.0988
7 Ir 0.2500 0.0563 0.9012
8 Ir 0.2500 0.4534 0.0998
9 Cr 0.2500 0.7468 0.9991
10 Cr 0.7500 0.2532 0.0009
11 Ir 0.2500 0.2625 0.5046
12 Cr 0.2500 0.3531 0.7969
13 Cr 0.2500 0.5515 0.4005
14 Ir 0.2500 0.6400 0.6982
15 Ir 0.7500 0.5466 0.9002
16 Ir 0.7500 0.8465 0.8044
17 Ir 0.7500 0.1626 0.7073
18 Rh 0.2500 0.9507 0.5997
19 Ir 0.7500 0.7375 0.4954
20 Ir 0.2500 0.1535 0.1956

---

Li12Ca2TlCd3: relaxed, GGA-PBE.

Results
Its volume is 23.60 Å³ per atom. The value obtained for the formation energy is -0.03 eV/atom. The space-group type is R-3m, No. 166. Its calculated total energy is -1.81 eV per atom. For the total magnetization, the calculation gives 0.000 Bohr magnetons per cell.

abc: 13.9730 13.9730 13.9730
angles: 24.88 24.88 24.88
Sites, in units of the cell vectors:
1 Li 0.8763 0.3940 0.3940
2 Li 0.1052 0.6174 0.1052
3 Ca 0.3526 0.3526 0.3526
4 Tl 0.0000 0.0000 0.0000
5 Cd 0.0000 0.0000 0.5000
6 Li 0.6174 0.1052 0.1052
7 Li 0.8948 0.3826 0.8948
8 Li 0.3940 0.3940 0.8763
9 Ca 0.6474 0.6474 0.6474
10 Li 0.6060 0.1237 0.6060
11 Li 0.3826 0.8948 0.8948
12 Li 0.1052 0.1052 0.6174
13 Li 0.8948 0.8948 0.3826
14 Li 0.1237 0.6060 0.6060
15 Cd 0.5000 0.0000 0.0000
16 Cd 0.0000 0.5000 0.0000
17 Li 0.6060 0.6060 0.1237
18 Li 0.3940 0.8763 0.3940

---

Co3Re12Tc5: relaxed, GGA-PBE.

Results
Its volume is 18.15 Å³ per atom. The value obtained for the formation energy is 1.12 eV/atom. The space-group type is Ia-3d, No. 230. Its calculated total energy is -10.00 eV per atom. For the total magnetization, the calculation gives 0.000 Bohr magnetons per cell.

abc: 12.3548 12.3548 12.3548
angles: 109.47 109.47 109.47
Sites, in units of the cell vectors:
1 Re 0.0707 0.1651 0.4277
2 Tc 0.0000 0.0000 0.5000
3 Re 0.3349 0.7627 0.4056
4 Tc 0.1250 0.7500 0.3750
5 Re 0.2627 0.4056 0.8349
6 Co 0.1250 0.2500 0.8750
7 Tc 0.7500 0.6250 0.3750
8 Co 0.8750 0.7500 0.1250
9 Re 0.7627 0.4277 0.3571
10 Re 0.0707 0.9056 0.1429
11 Re 0.9293 0.0944 0.8571
12 Tc 0.2500 0.8750 0.1250
13 Tc 0.8750 0.2500 0.6250
14 Co 0.3750 0.6250 0.2500
15 Re 0.6651 0.2373 0.5944
16 Re 0.5723 0.3349 0.9293
17 Tc 0.0000 0.0000 0.0000
18 Re 0.2373 0.5723 0.6429
19 Tc 0.3750 0.1250 0.7500
20 Re 0.9293 0.8349 0.5723
21 Re 0.9056 0.0707 0.6429
22 Re 0.1651 0.0944 0.7373
23 Re 0.4293 0.0723 0.3349
24 Tc 0.2500 0.3750 0.6250
25 Re 0.7373 0.5944 0.1651
26 Re 0.0944 0.1651 0.2373
27 Re 0.5944 0.7373 0.6651
28 Tc 0.0000 0.5000 0.0000
29 Tc 0.6250 0.8750 0.2500
30 Re 0.2373 0.6651 0.0944
31 Tc 0.0000 0.5000 0.5000
32 Co 0.2500 0.1250 0.3750
33 Co 0.6250 0.3750 0.7500
34 Re 0.4293 0.3571 0.5944
35 Re 0.9277 0.3571 0.2627
36 Re 0.1429 0.7373 0.5723
37 Co 0.3750 0.7500 0.6250
38 Re 0.8571 0.2627 0.4277
39 Co 0.7500 0.3750 0.1250
40 Re 0.6651 0.4277 0.5707
41 Re 0.1429 0.4056 0.0707
42 Re 0.0944 0.9293 0.3571
43 Re 0.4056 0.2627 0.3349
44 Tc 0.1250 0.3750 0.2500
45 Tc 0.5000 0.0000 0.0000
46 Re 0.9056 0.8349 0.7627
47 Tc 0.5000 0.5000 0.0000
48 Re 0.5723 0.2373 0.1429
49 Re 0.8349 0.9293 0.0723
50 Re 0.0723 0.6429 0.7373
51 Co 0.7500 0.8750 0.6250
52 Tc 0.3750 0.2500 0.1250
53 Co 0.1250 0.8750 0.7500
54 Re 0.3571 0.9277 0.7627
55 Re 0.0723 0.4293 0.8349
56 Re 0.6429 0.5707 0.9056
57 Tc 0.7500 0.1250 0.8750
58 Re 0.3349 0.5723 0.4293
59 Re 0.5944 0.8571 0.4293
60 Tc 0.5000 0.0000 0.5000
61 Re 0.4277 0.7627 0.8571
62 Re 0.9277 0.5707 0.1651
63 Re 0.1651 0.0707 0.9277
64 Re 0.5707 0.6429 0.4056
65 Co 0.6250 0.2500 0.3750
66 Tc 0.6250 0.7500 0.8750
67 Re 0.4056 0.1429 0.5707
68 Re 0.6429 0.0723 0.2373
69 Re 0.7373 0.1429 0.0723
70 Co 0.8750 0.1250 0.2500
71 Re 0.7627 0.3349 0.9056
72 Re 0.5707 0.9277 0.6651
73 Re 0.8571 0.5944 0.9293
74 Co 0.2500 0.6250 0.8750
75 Re 0.8349 0.9056 0.2627
76 Re 0.4277 0.6651 0.0707
77 Tc 0.8750 0.6250 0.7500
78 Tc 0.5000 0.5000 0.5000
79 Re 0.3571 0.4293 0.0944
80 Re 0.2627 0.8571 0.9277

---

MnAlCd2S: relaxed, GGA-PBE.

Results
As for the uncorrected formation energy: 3.418 eV/f.u. Its volume is 25.32 Å³ per atom. The space-group type is P4/mmm, No. 123. Its calculated total energy is -3.09 eV per atom. For the total magnetization, the calculation gives 3.709 Bohr magnetons per cell.

abc: 5.1128 4.8439 5.1128
angles: 90.00 90.00 90.00
Sites, in units of the cell vectors:
1 Cd 0.0000 0.0000 0.5000
2 Al 0.0000 0.5000 0.0000
3 S 0.5000 0.5000 0.5000
4 Cd 0.5000 0.0000 0.0000
5 Mn 0.0000 0.0000 0.0000

---

LiCaSmIr: relaxed, GGA-PBE.

Results
Its volume is 22.04 Å³ per atom. The value obtained for the formation energy is -0.35 eV/atom. The space-group type is F-43m, No. 216. Its calculated total energy is -4.72 eV per atom. For the total magnetization, the calculation gives 0.000 Bohr magnetons per cell.

abc: 4.9960 4.9960 4.9960
angles: 60.00 60.00 60.00
Sites, in units of the cell vectors:
1 Sm 0.2500 0.2500 0.2500
2 Ca 0.7500 0.7500 0.7500
3 Ir 0.5000 0.5000 0.5000
4 Li 0.0000 0.0000 0.0000

---

KCaP2N: relaxed, GGA-PBE.

Results
As for the uncorrected formation energy: 1.977 eV/f.u. Its volume is 18.00 Å³ per atom. The space-group type is P4/mmm, No. 123. Its calculated total energy is -4.05 eV per atom. For the total magnetization, the calculation gives 0.000 Bohr magnetons per cell.

abc: 4.3484 4.3484 4.7595
angles: 90.00 90.00 90.00
Sites, in units of the cell vectors:
1 P 0.0000 0.5000 0.0000
2 N 0.0000 0.0000 0.0000
3 K 0.0000 0.0000 0.5000
4 Ca 0.5000 0.5000 0.5000
5 P 0.5000 0.0000 0.0000

---

Question: calculated total energy of number 4 (Li12Ca2TlCd3)?
Answer: -1.81 eV per atom

---

Question: The lowest calculated total energy belongs to which entry?
Answer: Co3Re12Tc5